1.
Compound: Na2TaSe5
Source: Alexandria
Functional: GGA-PBE
Structure: optimized geometry

```
data_Na2TaSe5
_cell_length_a 5.586
_cell_length_b 7.778
_cell_length_c 12.732
_cell_angle_alpha 90.00
_cell_angle_beta 90.00
_cell_angle_gamma 90.00
_space_group_name_H-M_alt 'I m m 2'
_space_group_IT_number 44
loop_
_space_group_symop_operation_xyz
'x,y,z'
'-x,-y,z'
'-x,y,z'
'x,-y,z'
'x+1/2,y+1/2,z+1/2'
'-x+1/2,-y+1/2,z+1/2'
'-x+1/2,y+1/2,z+1/2'
'x+1/2,-y+1/2,z+1/2'
loop_
_atom_site_label
_atom_site_type_symbol
_atom_site_fract_x
_atom_site_fract_y
_atom_site_fract_z
Na1 Na 0.000 0.000 0.000
Na2 Na 0.000 0.000 0.493
Ta1 Ta 0.000 0.500 0.219
Se1 Se 0.000 0.500 0.406
Se2 Se 0.238 0.240 0.650
```

## Properties
Size of the total moment ... 0.0 μB per cell
Energy relative to the elements, uncorrected ... -0.627 eV/atom
Calculated density ... 3.73 g cm⁻³



2.
Compound: NaTaSe2
Source: Alexandria
Functional: GGA-PBE
Structure: optimized geometry

```
data_NaTaSe2
_cell_length_a 6.511
_cell_length_b 6.511
_cell_length_c 11.309
_cell_angle_alpha 90.00
_cell_angle_beta 90.00
_cell_angle_gamma 90.00
_space_group_name_H-M_alt 'I -4 2 d'
_space_group_IT_number 122
_space_group_name_Hall 'I -4 2bw'
loop_
_atom_site_label
_atom_site_type_symbol
_atom_site_fract_x
_atom_site_fract_y
_atom_site_fract_z
Na1 Na 0.000 0.000 0.000
Ta1 Ta 0.000 0.000 0.500
Se1 Se 0.199 0.250 0.625
```

## Properties
Size of the total moment ... 7.8 μB per cell
Energy relative to the elements, uncorrected ... -0.443 eV/atom
Calculated density ... 5.01 g cm⁻³